Record 1
An optimized crystal structure of Na2LiZrRe, computed with PBE.

Cell lengths 5.1235, 4.6629, 5.1235 Å; angles 90.00, 90.00, 90.00 degrees
Each line ends with the local moment (μB).
Fractional coordinates of all 5 atoms:
Na: 0.0000 0.0000 0.5000  0.01
Na: 0.5000 0.0000 0.0000  0.02
Li: 0.0000 0.5000 0.0000  -0.08
Re: 0.5000 0.5000 0.5000  -0.47
Zr: 0.0000 0.0000 0.0000  0.16

## Properties
**Theoretical density**: 4482 kg/m3
**DOS at the Fermi energy**: 1.219 states/eV/atom
**Energy of formation from the pure elements**: 2583 meV per atom
**Crystal system**: tetragonal

Record 2
An optimized crystal structure of SrCuTe2, computed with PBE.

Cell lengths 5.1735, 5.1735, 4.1649 Å; angles 89.90, 89.90, 98.40 degrees
Fractional coordinates of all 4 atoms:
Te: 0.0000 0.0000 0.0000
Te: 0.5000 0.5000 0.0000
Sr: 0.0000 0.5000 0.5000
Cu: 0.5000 0.0000 0.5000

## Properties
**Theoretical density**: 6119 kg/m3
**Calculated total energy**: -13.87 eV per cell
**DOS at the Fermi energy**: 0.398 states/eV/atom
**Crystal system**: monoclinic

Record 3
An optimized crystal structure of Rb5AuCl, computed with PBE.

Cell lengths 8.4859, 9.2290, 12.4375 Å; angles 101.92, 90.00, 117.37 degrees
Fractional coordinates of all 14 atoms:
Cl: 0.0000 0.0000 0.0000
Cl: 0.0000 0.0000 0.5000
Rb: 0.7944 0.2279 0.4971
Rb: 0.4335 0.2279 0.9971
Rb: 0.9569 0.3359 0.1476
Rb: 0.2056 0.7721 0.5029
Rb: 0.0431 0.6641 0.8524
Rb: 0.1409 0.0000 0.2500
Rb: 0.6210 0.6641 0.3524
Rb: 0.3790 0.3359 0.6476
Rb: 0.8591 0.0000 0.7500
Rb: 0.5665 0.7721 0.0029
Au: 0.5485 0.0000 0.2500
Au: 0.4515 0.0000 0.7500

## Properties
**Theoretical density**: 2604 kg/m3
**Calculated total energy**: -27.86 eV per cell
**DOS at the Fermi energy**: 0.463 states/eV/atom
**Crystal system**: monoclinic

Record 4
An optimized crystal structure of NbCo2Rh, computed with PBE.

Cell lengths 3.6971, 3.7633, 3.7633 Å; angles 90.00, 90.00, 90.00 degrees
Fractional coordinates of all 4 atoms:
Nb: 0.5000 0.0000 0.0000
Co: 0.0000 0.0000 0.5000
Co: 0.0000 0.5000 0.0000
Rh: 0.5000 0.5000 0.5000

## Properties
**Theoretical density**: 9948 kg/m3
**DOS at the Fermi energy**: 0.949 states/eV/atom
**Offset from the most stable computed form**: 0.0 meV per atom
**Energy of formation from the pure elements**: -253 meV per atom
**Crystal system**: tetragonal